# 1
ScMnIn2: relaxed, PBE.

Computed properties:
Formation energy from the elements   0.29 eV/atom
Volume   23.424 Å³/atom

Cell: 4.2908 4.2908 20.3566 Å, 90.00 90.00 90.00°
Element x y z (fractional)
Sc: 0.0000 0.0000 0.0000
Sc: 0.0000 0.5000 0.2500
Sc: 0.5000 0.0000 0.7500
Sc: 0.5000 0.5000 0.5000
Mn: 0.0000 0.0000 0.5000
Mn: 0.0000 0.5000 0.7500
Mn: 0.5000 0.0000 0.2500
Mn: 0.5000 0.5000 0.0000
In: 0.2390 0.2500 0.6250
In: 0.2500 0.7390 0.8750
In: 0.2500 0.7610 0.3750
In: 0.2610 0.2500 0.1250
In: 0.7390 0.7500 0.1250
In: 0.7500 0.2390 0.3750
In: 0.7500 0.2610 0.8750
In: 0.7610 0.7500 0.6250

# 2
ZnCo2Tc: relaxed, PBE.

Computed properties:
Formation energy from the elements   0.12 eV/atom
Volume   12.458 Å³/atom

Cell: 2.5817 3.7039 5.2114 Å, 90.00 90.00 90.00°
Element x y z (fractional)
Zn: 0.0000 0.0000 0.0000
Co: 0.0000 0.0000 0.4884
Co: 0.5000 0.5000 0.2270
Tc: 0.5000 0.5000 0.7053

# 3
ZrSeNF2: relaxed, PBE.

Computed properties:
Volume   15.272 Å³/atom
E above lowest polymorph   0.00 kcal/mol of atoms
Uncorrected formation energy   -1.38 eV per atom

Cell: 4.1300 4.1300 4.4767 Å, 90.00 90.00 90.00°
Element x y z (fractional)
Zr: 0.0000 0.0000 0.0000
Se: 0.5000 0.5000 0.5000
N: 0.0000 0.0000 0.5000
F: 0.0000 0.5000 0.0000
F: 0.5000 0.0000 0.0000

E for the records above, in order: -4.9586 -6.3428 -6.1983 eV per atom